# 1
# Y2TmZn4

A relaxed Y2TmZn4 crystal (GGA-PBE, Alexandria via LeMat-Bulk).

a = 5.135 Å, b = 5.135 Å, c = 7.171 Å
α = 110.98°, β = 110.98°, γ = 90.00°
Fractional positions:
Y1 0.725 0.725 0.449
Y2 0.275 0.275 0.551
Tm1 0.000 0.000 0.000
Zn1 0.391 0.891 0.782
Zn2 0.891 0.391 0.782
Zn3 0.609 0.109 0.218
Zn4 0.109 0.609 0.218

---

# 2
# Y2TmZn

A relaxed Y2TmZn crystal (GGA-PBE, Alexandria via LeMat-Bulk).

Computed properties:
Offset from the most stable computed form   0.091 eV/atom

a = 3.612 Å, b = 3.612 Å, c = 10.345 Å
α = 79.95°, β = 79.95°, γ = 60.00°
Last column: magnetic moment on the atom in μB.
Fractional positions:
Y1 0.073 0.073 0.782  0.13
Y2 0.261 0.261 0.218  0.07
Tm1 0.500 0.500 0.499  0.34
Zn1 0.666 0.666 0.001  0.01

---

# 3
# Y2Tm3Zn2

A relaxed Y2Tm3Zn2 crystal (GGA-PBE, Alexandria via LeMat-Bulk).

a = 4.620 Å, b = 6.074 Å, c = 8.050 Å
α = 113.94°, β = 90.00°, γ = 112.35°
Fractional positions:
Y1 0.863 0.725 0.209
Y2 0.137 0.275 0.791
Tm1 0.500 0.000 0.000
Tm2 0.632 0.264 0.456
Tm3 0.368 0.736 0.544
Zn1 0.849 0.697 0.808
Zn2 0.151 0.303 0.192

---

# 4
# YTm2Zn

A relaxed YTm2Zn crystal (GGA-PBE, Alexandria via LeMat-Bulk).

Computed properties:
Offset from the most stable computed form   0.000 eV/atom

a = 3.533 Å, b = 3.533 Å, c = 8.566 Å
α = 90.00°, β = 90.00°, γ = 90.00°
Fractional positions:
Y1 0.500 0.500 0.500
Zn1 0.500 0.500 0.000
Tm1 0.000 0.000 0.797
Tm2 0.000 0.000 0.203

---

# 5
# Y5TmZn4

A relaxed Y5TmZn4 crystal (GGA-PBE, Alexandria via LeMat-Bulk).

a = 3.574 Å, b = 3.574 Å, c = 19.360 Å
α = 90.00°, β = 90.00°, γ = 90.00°
Fractional positions:
Y1 0.500 0.500 0.131
Y2 0.500 0.500 0.315
Y3 0.500 0.500 0.500
Y4 0.500 0.500 0.685
Y5 0.500 0.500 0.869
Tm1 0.000 0.000 0.000
Zn1 0.000 0.000 0.223
Zn2 0.000 0.000 0.407
Zn3 0.000 0.000 0.593
Zn4 0.000 0.000 0.777

---

# 6
# Y2TmZn

A relaxed Y2TmZn crystal (GGA-PBE, Alexandria via LeMat-Bulk).

Computed properties:
Offset from the most stable computed form   1.280 eV/atom

a = 5.504 Å, b = 5.504 Å, c = 8.346 Å
α = 70.74°, β = 70.74°, γ = 60.00°
Fractional positions:
Y1 0.133 0.133 0.602
Y2 0.867 0.867 0.398
Zn1 0.000 0.000 0.000
Tm1 0.500 0.500 0.500

---

no.,formation energy from the elements (meV per atom),electronic total energy (eV per atom),density of states at the Fermi level (states/eV per atom)
1,-171,-3.3843,0.59
2,-68,-4.7366,1.23
3,-109,-4.2366,1.19
4,-169,-4.3388,1.00
5,-279,-4.4682,1.14
6,1121,-3.5473,1.46